[1]
A plane-wave DFT calculation with PBE was carried out for a relaxed structure of LiLuBe.

Cell lengths 4.4908, 4.4908, 4.4908 Å; angles 60.00, 60.00, 60.00 degrees
Closest atoms and distances in Å follow each position.
Fractional positions:
Li1 0.0000 0.0000 0.0000  4 Lu 2.75
Lu1 0.7500 0.7500 0.7500  4 Li 2.75, 4 Be 2.75
Be1 0.5000 0.5000 0.5000  4 Lu 2.75

## Properties
Total DFT energy (no corrections), eV/atom: -2.502
SG: F-43m (216)

***

[2]
A plane-wave DFT calculation with PBE was carried out for a relaxed structure of KNbBi.

Cell lengths 5.2613, 5.2613, 5.2613 Å; angles 60.00, 60.00, 60.00 degrees
Closest atoms and distances in Å follow each position.
Fractional positions:
K1 0.0000 0.0000 0.0000  4 Bi 3.22, 4 Nb 3.22
Nb1 0.2500 0.2500 0.2500  4 K 3.22
Bi1 0.7500 0.7500 0.7500  4 K 3.22

## Properties
Total DFT energy (no corrections), eV/atom: -3.612
SG: F-43m (216)

***

[3]
A plane-wave DFT calculation with PBE was carried out for a relaxed structure of KErZn.

Cell lengths 5.2387, 5.2387, 5.2387 Å; angles 60.00, 60.00, 60.00 degrees
Closest atoms and distances in Å follow each position.
Fractional positions:
K1 0.0000 0.0000 0.0000  4 Zn 3.21
Er1 0.5000 0.5000 0.5000  4 Zn 3.21
Zn1 0.7500 0.7500 0.7500  4 K 3.21, 4 Er 3.21

## Properties
Total DFT energy (no corrections), eV/atom: -1.772
SG: F-43m (216)

***

[4]
A plane-wave DFT calculation with PBE was carried out for a relaxed structure of GdDyC2Cl2.

Cell lengths 3.9499, 3.9499, 10.5895 Å; angles 97.37, 97.37, 56.74 degrees
Closest atoms and distances in Å follow each position.
Fractional positions:
Gd1 0.0000 0.0000 0.0000  3 C 2.35-2.61
Dy1 0.8126 0.8126 0.2838  3 C 2.32-2.59
C1 0.3203 0.3203 0.1078  1 C 1.33
C2 0.4940 0.4940 0.1805  1 C 1.33
Cl1 0.1971 0.1971 0.4455  3 Dy 2.74-2.96
Cl2 0.6171 0.6171 0.8355  3 Gd 2.76-2.96

## Properties
Total DFT energy (no corrections), eV/atom: -6.483
SG: Cm (8)

***

[5]
A plane-wave DFT calculation with PBE was carried out for a relaxed structure of Lu4Al4O11.

Cell lengths 5.0661, 5.3095, 7.2884 Å; angles 89.93, 89.99, 89.64 degrees
Closest atoms and distances in Å follow each position.
Fractional positions:
Lu1 0.0000 0.0000 0.0000  6 O 2.17-2.40
Lu2 0.0317 0.1292 0.5003  5 O 2.18-2.38
Lu3 0.4962 0.6286 0.5078  5 O 2.18-2.41
Lu4 0.5355 0.5029 0.0020  6 O 2.17-2.40
Al1 0.0168 0.5656 0.2525  6 O 1.89-1.93
Al2 0.0228 0.5608 0.7509  5 O 1.90-1.93
Al3 0.5144 0.0685 0.7512  5 O 1.89-1.94
Al4 0.5163 0.0655 0.2525  6 O 1.89-1.92
O1 0.1176 0.5945 0.0019  2 Al 1.90
O2 0.2142 0.8672 0.7001  2 Al 1.90-1.93
O3 0.2151 0.8647 0.3034  2 Al 1.90-1.92
O4 0.3192 0.3654 0.3081  2 Al 1.90-1.92
O5 0.4151 0.0989 0.0010  2 Al 1.90-1.91
O6 0.6135 0.0371 0.5025  2 Al 1.89
O7 0.7139 0.7641 0.8019  2 Al 1.93-1.94
O8 0.7151 0.7672 0.1986  2 Al 1.90-1.91
O9 0.8184 0.2656 0.8015  2 Al 1.90-1.92
O10 0.8199 0.2647 0.1992  2 Al 1.91-1.93
O11 0.9152 0.5360 0.5010  2 Al 1.89-1.91

## Properties
Total DFT energy (no corrections), eV/atom: -7.801
SG: P1 (1)

***

[6]
A plane-wave DFT calculation with PBE was carried out for a relaxed structure of AlNi.

Cell lengths 2.7356, 2.7356, 3.8055 Å; angles 90.00, 90.00, 120.00 degrees
Closest atoms and distances in Å follow each position.
Fractional positions:
Al1 0.0000 0.0000 0.0000  6 Ni 2.47, 6 Al 2.74
Ni1 0.6667 0.3333 0.5000  6 Al 2.47, 6 Ni 2.74

## Properties
Total DFT energy (no corrections), eV/atom: -5.127
SG: P-6m2 (187)

***

[7]
A plane-wave DFT calculation with PBE was carried out for a relaxed structure of Tb2AlGaPt4.

Cell lengths 4.3748, 4.3748, 9.2070 Å; angles 90.00, 90.00, 120.00 degrees
Closest atoms and distances in Å follow each position.
Fractional positions:
Tb1 0.3333 0.6667 0.2511  8 Pt 2.95-3.07
Tb2 0.6667 0.3333 0.7489  8 Pt 2.95-3.07
Al1 0.0000 0.0000 0.0000  6 Pt 2.64
Ga1 0.0000 0.0000 0.5000  6 Pt 2.64
Pt1 0.3333 0.6667 0.5842  3 Ga 2.64, 3 Tb 2.95
Pt2 0.3333 0.6667 0.9179  3 Al 2.64, 3 Pt 2.94
Pt3 0.6667 0.3333 0.0821  3 Al 2.64, 3 Pt 2.94
Pt4 0.6667 0.3333 0.4158  3 Ga 2.64, 3 Tb 2.95

## Properties
Total DFT energy (no corrections), eV/atom: -6.151
SG: P-3m1 (164)

***

[8]
A plane-wave DFT calculation with PBE was carried out for a relaxed structure of GdTmGa4Ni2.

Cell lengths 6.7127, 5.4480, 5.4480 Å; angles 44.08, 90.00, 90.00 degrees
Closest atoms and distances in Å follow each position.
Fractional positions:
Gd1 0.0000 0.0000 0.0000  3 Ni 2.85-3.00, 6 Ga 3.00-3.17
Tm1 0.5000 0.1401 0.1401  3 Ni 2.85-3.00, 6 Ga 2.98-3.15
Ga1 0.1978 0.7148 0.7148  3 Ni 2.49-2.53, 1 Ga 2.66
Ga2 0.3053 0.4235 0.4235  3 Ni 2.50-2.51, 1 Ga 2.61
Ga3 0.6947 0.4235 0.4235  3 Ni 2.50-2.51, 1 Ga 2.61
Ga4 0.8022 0.7148 0.7148  3 Ni 2.49-2.53, 1 Ga 2.66
Ni1 0.0000 0.2825 0.2825  6 Ga 2.50-2.53
Ni2 0.5000 0.8580 0.8580  6 Ga 2.49-2.51

## Properties
Total DFT energy (no corrections), eV/atom: -4.696
SG: Amm2 (38)

***

[9]
A plane-wave DFT calculation with PBE was carried out for a relaxed structure of RbSn3Au3.

Cell lengths 4.7740, 7.8968, 9.5125 Å; angles 90.00, 90.00, 90.00 degrees
Closest atoms and distances in Å follow each position.
Fractional positions:
Rb1 0.2500 0.2500 0.2400  6 Au 3.51-3.61, 4 Sn 3.62
Rb2 0.7500 0.7500 0.7600  6 Au 3.51-3.61, 4 Sn 3.62
Sn1 0.2500 0.0508 0.6210  4 Au 2.81-3.00, 1 Sn 3.15
Sn2 0.2500 0.4492 0.6210  4 Au 2.81-3.00, 1 Sn 3.15
Sn3 0.2500 0.7500 0.1155  7 Au 2.94-2.97
Sn4 0.7500 0.2500 0.8845  7 Au 2.94-2.97
Sn5 0.7500 0.5508 0.3790  4 Au 2.81-3.00, 1 Sn 3.15
Sn6 0.7500 0.9492 0.3790  4 Au 2.81-3.00, 1 Sn 3.15
Au1 0.2500 0.0372 0.9165  4 Sn 2.81-2.95, 2 Au 2.93
Au2 0.2500 0.4628 0.9165  4 Sn 2.81-2.95, 2 Au 2.93
Au3 0.2500 0.7500 0.4282  7 Sn 2.90-3.00
Au4 0.7500 0.2500 0.5718  7 Sn 2.90-3.00
Au5 0.7500 0.5372 0.0835  4 Sn 2.81-2.95, 2 Au 2.93
Au6 0.7500 0.9628 0.0835  4 Sn 2.81-2.95, 2 Au 2.93

## Properties
Total DFT energy (no corrections), eV/atom: -3.527
SG: Pmmn (59)

***

[10]
A plane-wave DFT calculation with PBE was carried out for a relaxed structure of KReCl6.

Cell lengths 6.6252, 6.6252, 11.9718 Å; angles 100.29, 100.29, 56.31 degrees
Closest atoms and distances in Å follow each position.
Fractional positions:
K1 0.1162 0.8838 0.7500  12 Cl 3.44-3.60
K2 0.8838 0.1162 0.2500  12 Cl 3.44-3.60
Re1 0.0000 0.5000 0.0000  6 Cl 2.32-2.33
Re2 0.5000 0.0000 0.5000  6 Cl 2.32-2.33
Cl1 0.0972 0.2048 0.5401  1 Re 2.32
Cl2 0.2048 0.0972 0.0401  1 Re 2.32
Cl3 0.2047 0.3701 0.8371  1 Re 2.33
Cl4 0.3089 0.5389 0.1063  1 Re 2.33
Cl5 0.3701 0.2047 0.3371  1 Re 2.33
Cl6 0.4611 0.6911 0.3937  1 Re 2.33
Cl7 0.5389 0.3089 0.6063  1 Re 2.33
Cl8 0.6299 0.7953 0.6629  1 Re 2.33
Cl9 0.6911 0.4611 0.8937  1 Re 2.33
Cl10 0.7953 0.6299 0.1629  1 Re 2.33
Cl11 0.7952 0.9028 0.9599  1 Re 2.32
Cl12 0.9028 0.7952 0.4599  1 Re 2.32

## Properties
Total DFT energy (no corrections), eV/atom: -4.021
SG: C2/c (15)

***

[11]
A plane-wave DFT calculation with PBE was carried out for a relaxed structure of Rb2PtPbBr6.

Cell lengths 7.8596, 7.8596, 7.8596 Å; angles 60.00, 60.00, 60.00 degrees
Closest atoms and distances in Å follow each position.
Fractional positions:
Rb1 0.2500 0.2500 0.2500  12 Br 3.93
Rb2 0.7500 0.7500 0.7500  12 Br 3.93
Pt1 0.0000 0.0000 0.0000  6 Br 2.62
Pb1 0.5000 0.5000 0.5000  6 Br 2.94
Br1 0.2356 0.2356 0.7644  1 Pt 2.62
Br2 0.2356 0.7644 0.2356  1 Pt 2.62
Br3 0.2356 0.7644 0.7644  1 Pt 2.62
Br4 0.7644 0.2356 0.2356  1 Pt 2.62
Br5 0.7644 0.2356 0.7644  1 Pt 2.62
Br6 0.7644 0.7644 0.2356  1 Pt 2.62

## Properties
Total DFT energy (no corrections), eV/atom: -3.120
SG: Fm-3m (225)

***

[12]
A plane-wave DFT calculation with PBE was carried out for a relaxed structure of NdGeAsO.

Cell lengths 4.4529, 5.5308, 6.5387 Å; angles 90.00, 90.00, 90.00 degrees
Closest atoms and distances in Å follow each position.
Fractional positions:
Nd1 0.0000 0.2401 0.0000  2 O 2.31
Nd2 0.0000 0.7599 0.5000  2 O 2.31
Ge1 0.5000 0.3481 0.3759  2 O 2.26
Ge2 0.5000 0.6519 0.8759  2 O 2.26
As1 0.5000 0.0863 0.7042  2 Ge 2.59-2.65
As2 0.5000 0.9137 0.2042  2 Ge 2.59-2.65
O1 0.0000 0.3960 0.3270  2 Ge 2.26, 2 Nd 2.31
O2 0.0000 0.6040 0.8270  2 Ge 2.26, 2 Nd 2.31

## Properties
Total DFT energy (no corrections), eV/atom: -6.048
SG: Pmc2_1 (26)

***

[13]
A plane-wave DFT calculation with PBE was carried out for a relaxed structure of ScCu2Si.

Cell lengths 4.3478, 4.3478, 4.3478 Å; angles 60.00, 60.00, 60.00 degrees
Closest atoms and distances in Å follow each position.
Fractional positions:
Sc1 0.0000 0.0000 0.0000  4 Cu 2.66, 4 Si 2.66
Cu1 0.5000 0.5000 0.5000  4 Cu 2.66, 4 Si 2.66
Cu2 0.7500 0.7500 0.7500  4 Cu 2.66, 4 Sc 2.66
Si1 0.2500 0.2500 0.2500  4 Cu 2.66, 4 Sc 2.66

## Properties
Total DFT energy (no corrections), eV/atom: -5.064
SG: F-43m (216)

***

[14]
A plane-wave DFT calculation with PBE was carried out for a relaxed structure of NaErPd.

Cell lengths 4.7427, 4.7427, 4.7427 Å; angles 60.00, 60.00, 60.00 degrees
Closest atoms and distances in Å follow each position.
Fractional positions:
Na1 0.0000 0.0000 0.0000  4 Pd 2.90
Er1 0.5000 0.5000 0.5000  4 Pd 2.90
Pd1 0.7500 0.7500 0.7500  4 Er 2.90, 4 Na 2.90

## Properties
Total DFT energy (no corrections), eV/atom: -3.943
SG: F-43m (216)

***

[15]
A plane-wave DFT calculation with PBE was carried out for a relaxed structure of Y2LuCu.

Cell lengths 5.2372, 5.2372, 5.2372 Å; angles 60.00, 60.00, 60.00 degrees
Closest atoms and distances in Å follow each position.
Fractional positions:
Y1 0.0000 0.0000 0.0000  4 Cu 3.21, 4 Y 3.21
Y2 0.2500 0.2500 0.2500  4 Lu 3.21, 4 Y 3.21
Lu1 0.5000 0.5000 0.5000  4 Cu 3.21, 4 Y 3.21
Cu1 0.7500 0.7500 0.7500  4 Y 3.21, 4 Lu 3.21

## Properties
Energy of formation, eV/atom: 0.22
Total DFT energy (no corrections), eV/atom: -5.073
SG: F-43m (216)

***

[16]
A plane-wave DFT calculation with PBE was carried out for a relaxed structure of Fe.

Cell lengths 7.4722, 7.4722, 7.4722 Å; angles 109.47, 109.47, 109.47 degrees
Closest atoms and distances in Å follow each position.
Fractional positions:
Fe1 0.0000 0.0000 0.0000  16 Fe 2.65-2.74
Fe2 0.0000 0.0000 0.6331  9 Fe 2.44-2.63
Fe3 0.0000 0.1888 0.3698  6 Fe 2.21-2.47
Fe4 0.0000 0.3698 0.1888  6 Fe 2.21-2.47
Fe5 0.0000 0.4001 0.6801  12 Fe 2.33-2.60
Fe6 0.0000 0.6331 0.0000  9 Fe 2.44-2.63
Fe7 0.0000 0.6801 0.4001  12 Fe 2.33-2.60
Fe8 0.1810 0.8112 0.8112  6 Fe 2.21-2.47
Fe9 0.1888 0.0000 0.3698  6 Fe 2.21-2.47
Fe10 0.1888 0.3698 0.0000  6 Fe 2.21-2.47
Fe11 0.2800 0.5999 0.5999  12 Fe 2.33-2.60
Fe12 0.3199 0.3199 0.7200  12 Fe 2.33-2.60
Fe13 0.3199 0.7200 0.3199  12 Fe 2.33-2.60
Fe14 0.3669 0.3669 0.3669  9 Fe 2.44-2.63
Fe15 0.3698 0.0000 0.1888  6 Fe 2.21-2.47
Fe16 0.3698 0.1888 0.0000  6 Fe 2.21-2.47
Fe17 0.4001 0.0000 0.6801  12 Fe 2.33-2.60
Fe18 0.4001 0.6801 0.0000  12 Fe 2.33-2.60
Fe19 0.5999 0.2800 0.5999  12 Fe 2.33-2.60
Fe20 0.5999 0.5999 0.2800  12 Fe 2.33-2.60
Fe21 0.6302 0.6302 0.8190  6 Fe 2.21-2.47
Fe22 0.6302 0.8190 0.6302  6 Fe 2.21-2.47
Fe23 0.6331 0.0000 0.0000  9 Fe 2.44-2.63
Fe24 0.6801 0.0000 0.4001  12 Fe 2.33-2.60
Fe25 0.6801 0.4001 0.0000  12 Fe 2.33-2.60
Fe26 0.7200 0.3199 0.3199  12 Fe 2.33-2.60
Fe27 0.8112 0.1810 0.8112  6 Fe 2.21-2.47
Fe28 0.8112 0.8112 0.1810  6 Fe 2.21-2.47
Fe29 0.8190 0.6302 0.6302  6 Fe 2.21-2.47

## Properties
Energy of formation, eV/atom: 0.13
Total DFT energy (no corrections), eV/atom: -8.179
SG: I-43m (217)

***

[17]
A plane-wave DFT calculation with PBE was carried out for a relaxed structure of Cu2Ag3.

Cell lengths 9.6038, 9.6038, 5.8140 Å; angles 99.05, 99.05, 17.08 degrees
Closest atoms and distances in Å follow each position.
Fractional positions:
Cu1 0.0000 0.0000 0.0000  5 Cu 2.57-2.85, 6 Ag 2.69-2.79
Cu2 0.0043 0.0043 0.4535  3 Cu 2.53-2.63, 6 Ag 2.65-2.74
Cu3 0.4141 0.4141 0.1966  6 Cu 2.53-2.65, 3 Ag 2.69-2.75
Cu4 0.8181 0.8181 0.3747  4 Cu 2.65-2.85, 7 Ag 2.74-2.84
Ag1 0.2117 0.2117 0.0853  2 Cu 2.80, 10 Ag 2.85-2.98
Ag2 0.2150 0.2150 0.5803  2 Cu 2.84, 10 Ag 2.85-3.04
Ag3 0.4170 0.4170 0.6706  7 Cu 2.65-2.75, 4 Ag 2.82-2.85
Ag4 0.5958 0.5958 0.7750  4 Cu 2.74-2.79, 8 Ag 2.85-3.04
Ag5 0.6022 0.6022 0.2766  4 Cu 2.68-2.72, 8 Ag 2.85-2.92
Ag6 0.8201 0.8201 0.8989  3 Cu 2.69-2.77, 8 Ag 2.82-2.88

## Properties
Energy of formation, eV/atom: 0.07
Total DFT energy (no corrections), eV/atom: -3.109
SG: Cm (8)

***

[18]
A plane-wave DFT calculation with PBE was carried out for a relaxed structure of Pr4BrClO2.

Cell lengths 3.6892, 3.6892, 14.4534 Å; angles 90.00, 90.00, 120.00 degrees
Closest atoms and distances in Å follow each position.
Fractional positions:
Pr1 0.0000 0.0000 0.1501  3 O 2.53
Pr2 0.0000 0.0000 0.8499  3 O 2.53
Pr3 0.6667 0.3333 0.3387  3 O 2.53
Pr4 0.6667 0.3333 0.6613  3 O 2.53
Br1 0.0000 0.0000 0.5000  6 Pr 3.16
Cl1 0.6667 0.3333 0.0000  6 Pr 3.04
O1 0.3333 0.6667 0.2441  6 Pr 2.53
O2 0.3333 0.6667 0.7559  6 Pr 2.53

## Properties
Total DFT energy (no corrections), eV/atom: -6.008
SG: P-6m2 (187)

***

[19]
A plane-wave DFT calculation with PBE was carried out for a relaxed structure of TmCdPt.

Cell lengths 4.7222, 4.7222, 4.7222 Å; angles 60.00, 60.00, 60.00 degrees
Closest atoms and distances in Å follow each position.
Fractional positions:
Tm1 0.0000 0.0000 0.0000  4 Pt 2.89, 4 Cd 2.89
Cd1 0.7500 0.7500 0.7500  4 Tm 2.89
Pt1 0.2500 0.2500 0.2500  4 Tm 2.89

## Properties
Energy of formation, eV/atom: -0.31
Total DFT energy (no corrections), eV/atom: -4.119
SG: F-43m (216)

***

[20]
A plane-wave DFT calculation with PBE was carried out for a relaxed structure of NdHoAl2Ni4.

Cell lengths 4.1572, 4.1572, 9.1398 Å; angles 90.00, 90.00, 120.00 degrees
Closest atoms and distances in Å follow each position.
Fractional positions:
Nd1 0.0000 0.0000 0.0000  8 Ni 2.91-3.03
Ho1 0.6667 0.3333 0.5000  8 Ni 2.73-2.92
Al1 0.3333 0.6667 0.2599  6 Ni 2.46
Al2 0.3333 0.6667 0.7401  6 Ni 2.46
Ni1 0.0000 0.0000 0.3180  3 Al 2.46, 3 Ni 2.62
Ni2 0.0000 0.0000 0.6820  3 Al 2.46, 3 Ni 2.62
Ni3 0.6667 0.3333 0.2018  3 Al 2.46, 3 Ni 2.62, 1 Ho 2.73
Ni4 0.6667 0.3333 0.7982  3 Al 2.46, 3 Ni 2.62, 1 Ho 2.73

## Properties
Total DFT energy (no corrections), eV/atom: -5.447
SG: P-6m2 (187)